# 1
{
  "formula": "TiB4Ru",
  "functional": "PBE-GGA",
  "state": "relaxed",
  "lattice_angstrom": [[5.800, 0.000, 0.000], [0.000, 11.171, 0.000], [0.000, 0.000, 3.362]],
  "species": ["Ti", "Ti", "Ti", "Ti", "B", "B", "B", "B", "B", "B", "B", "B", "B", "B", "B", "B", "B", "B", "B", "B", "Ru", "Ru", "Ru", "Ru"],
  "fractional_positions": [[0.127, 0.146, 0.000], [0.373, 0.646, 0.000], [0.627, 0.354, 0.000], [0.873, 0.854, 0.000], [0.018, 0.698, 0.500], [0.118, 0.551, 0.500], [0.131, 0.972, 0.500], [0.198, 0.813, 0.500], [0.302, 0.313, 0.500], [0.369, 0.472, 0.500], [0.382, 0.051, 0.500], [0.482, 0.198, 0.500], [0.518, 0.802, 0.500], [0.618, 0.949, 0.500], [0.631, 0.528, 0.500], [0.698, 0.687, 0.500], [0.802, 0.187, 0.500], [0.869, 0.028, 0.500], [0.882, 0.449, 0.500], [0.982, 0.302, 0.500], [0.140, 0.404, 0.000], [0.360, 0.904, 0.000], [0.640, 0.096, 0.000], [0.860, 0.596, 0.000]],
  "dft_energy_ev_per_atom": -7.7560,
  "magnetic_moment_mub_per_fu": 0.0,
  "dos_at_fermi_per_ev_cell": 9.28,
  "ef_mev_per_atom": -442.6
}

***

# 2
{
  "formula": "TiBRu2",
  "functional": "PBE-GGA",
  "state": "relaxed",
  "lattice_angstrom": [[4.021, 0.000, 0.000], [0.000, 4.021, 0.000], [0.000, 0.000, 3.036]],
  "species": ["Ti", "B", "Ru", "Ru"],
  "fractional_positions": [[0.000, 0.000, 0.000], [0.500, 0.500, 0.000], [0.000, 0.500, 0.500], [0.500, 0.000, 0.500]],
  "dft_energy_ev_per_atom": -8.4829,
  "magnetic_moment_mub_per_fu": 0.0,
  "dos_at_fermi_per_ev_cell": 2.77,
  "ef_mev_per_atom": -201.9
}

***

# 3
{
  "formula": "TiBRu2",
  "functional": "PBE-GGA",
  "state": "relaxed",
  "lattice_angstrom": [[-3.404, 3.404, 2.320], [3.404, -3.404, 2.320], [3.404, 3.404, -2.320]],
  "species": ["Ti", "Ti", "B", "B", "Ru", "Ru", "Ru", "Ru"],
  "fractional_positions": [[0.000, 0.000, 0.000], [0.750, 0.250, 0.500], [0.250, 0.750, 0.500], [0.500, 0.500, 0.000], [0.227, 0.125, 0.602], [0.375, 0.773, 0.898], [0.523, 0.625, 0.398], [0.875, 0.477, 0.102]],
  "dft_energy_ev_per_atom": -8.4953,
  "magnetic_moment_mub_per_fu": 0.0,
  "dos_at_fermi_per_ev_cell": 10.52,
  "ef_mev_per_atom": -214.3
}

***

# 4
{
  "formula": "TiTl2BRu",
  "functional": "PBE-GGA",
  "state": "relaxed",
  "lattice_angstrom": [[5.269, 0.000, 0.000], [0.000, 5.269, 0.000], [0.000, 0.000, 4.522]],
  "species": ["Ti", "Tl", "Tl", "B", "Ru"],
  "fractional_positions": [[0.000, 0.000, 0.000], [0.000, 0.500, 0.500], [0.500, 0.000, 0.500], [0.500, 0.500, 0.000], [0.000, 0.000, 0.500]],
  "dft_energy_ev_per_atom": -4.4940,
  "magnetic_moment_mub_per_fu": 0.4,
  "dos_at_fermi_per_ev_cell": 4.22,
  "ef_mev_per_atom": 1222.1
}

***

# 5
{
  "formula": "TiTl2BRu",
  "functional": "PBE-GGA",
  "state": "relaxed",
  "lattice_angstrom": [[5.341, 0.000, 0.000], [0.000, 5.341, 0.000], [0.000, 0.000, 4.032]],
  "species": ["Ti", "Tl", "Tl", "B", "Ru"],
  "fractional_positions": [[0.000, 0.000, 0.000], [0.000, 0.500, 0.000], [0.500, 0.000, 0.000], [0.000, 0.000, 0.500], [0.500, 0.500, 0.500]],
  "dft_energy_ev_per_atom": -4.2379,
  "magnetic_moment_mub_per_fu": 2.1,
  "dos_at_fermi_per_ev_cell": 4.94,
  "ef_mev_per_atom": 1478.3
}

***

# 6
{
  "formula": "UTi2B2Ru5",
  "functional": "PBE-GGA",
  "state": "relaxed",
  "lattice_angstrom": [[9.374, 0.000, 0.000], [0.000, 9.374, 0.000], [0.000, 0.000, 3.150]],
  "species": ["U", "U", "Ti", "Ti", "Ti", "Ti", "B", "B", "B", "B", "Ru", "Ru", "Ru", "Ru", "Ru", "Ru", "Ru", "Ru", "Ru", "Ru"],
  "fractional_positions": [[0.000, 0.000, 0.000], [0.500, 0.500, 0.000], [0.169, 0.331, 0.000], [0.331, 0.831, 0.000], [0.669, 0.169, 0.000], [0.831, 0.669, 0.000], [0.122, 0.622, 0.000], [0.378, 0.122, 0.000], [0.622, 0.878, 0.000], [0.878, 0.378, 0.000], [0.000, 0.500, 0.500], [0.075, 0.782, 0.500], [0.218, 0.075, 0.500], [0.282, 0.575, 0.500], [0.425, 0.282, 0.500], [0.500, 0.000, 0.500], [0.575, 0.718, 0.500], [0.718, 0.425, 0.500], [0.782, 0.925, 0.500], [0.925, 0.218, 0.500]],
  "dft_energy_ev_per_atom": -9.1311,
  "magnetic_moment_mub_per_fu": 0.0,
  "dos_at_fermi_per_ev_cell": 12.20,
  "ef_mev_per_atom": -449.9
}

***

# 7
{
  "formula": "Ti2VB2Ru5",
  "functional": "PBE-GGA",
  "state": "relaxed",
  "lattice_angstrom": [[9.213, 0.000, 0.000], [0.000, 9.213, 0.000], [0.000, 0.000, 2.986]],
  "species": ["Ti", "Ti", "Ti", "Ti", "V", "V", "B", "B", "B", "B", "Ru", "Ru", "Ru", "Ru", "Ru", "Ru", "Ru", "Ru", "Ru", "Ru"],
  "fractional_positions": [[0.176, 0.324, 0.000], [0.324, 0.824, 0.000], [0.676, 0.176, 0.000], [0.824, 0.676, 0.000], [0.000, 0.000, 0.000], [0.500, 0.500, 0.000], [0.124, 0.624, 0.000], [0.376, 0.124, 0.000], [0.624, 0.876, 0.000], [0.876, 0.376, 0.000], [0.000, 0.500, 0.500], [0.072, 0.788, 0.500], [0.212, 0.072, 0.500], [0.288, 0.572, 0.500], [0.428, 0.288, 0.500], [0.500, 0.000, 0.500], [0.572, 0.712, 0.500], [0.712, 0.428, 0.500], [0.788, 0.928, 0.500], [0.928, 0.212, 0.500]],
  "dft_energy_ev_per_atom": -9.0476,
  "magnetic_moment_mub_per_fu": 0.0,
  "dos_at_fermi_per_ev_cell": 10.17,
  "ef_mev_per_atom": -583.3
}

***

# 8
{
  "formula": "Ti2B2Ru5W",
  "functional": "PBE-GGA",
  "state": "relaxed",
  "lattice_angstrom": [[9.335, 0.000, 0.000], [0.000, 9.335, 0.000], [0.000, 0.000, 3.010]],
  "species": ["Ti", "Ti", "Ti", "Ti", "B", "B", "B", "B", "Ru", "Ru", "Ru", "Ru", "Ru", "Ru", "Ru", "Ru", "Ru", "Ru", "W", "W"],
  "fractional_positions": [[0.175, 0.325, 0.000], [0.325, 0.825, 0.000], [0.675, 0.175, 0.000], [0.825, 0.675, 0.000], [0.121, 0.621, 0.000], [0.379, 0.121, 0.000], [0.621, 0.879, 0.000], [0.879, 0.379, 0.000], [0.000, 0.500, 0.500], [0.073, 0.785, 0.500], [0.215, 0.073, 0.500], [0.285, 0.573, 0.500], [0.427, 0.285, 0.500], [0.500, 0.000, 0.500], [0.573, 0.715, 0.500], [0.715, 0.427, 0.500], [0.785, 0.927, 0.500], [0.927, 0.215, 0.500], [0.000, 0.000, 0.000], [0.500, 0.500, 0.000]],
  "dft_energy_ev_per_atom": -9.3482,
  "magnetic_moment_mub_per_fu": 0.0,
  "dos_at_fermi_per_ev_cell": 5.71,
  "ef_mev_per_atom": -500.5
}